(1)
Below is crystalline LiFe2Pd8 at its relaxed geometry, with properties calculated at the PBE-GGA level.

As for the electronic total energy: -124.103 eV per cell. For the formation enthalpy at 0 K, the calculation gives -0.152 eV per atom.

The space group is C2/m (No. 12) and the conventional cell measures 13.821, 3.952 and 6.179 Å, with angles of 90.00, 106.15 and 90.00 degrees. The inequivalent atoms are Li at (0.000, 0.000, 0.000), Fe at (0.225, 0.500, 0.649), Pd at (0.045, 0.500, 0.730), Pd at (0.099, 0.000, 0.463), Pd at (0.145, 0.500, 0.201) and Pd at (0.180, 0.000, 0.918).



(2)
Below is crystalline Er2Tm5Co4 at its relaxed geometry, with properties calculated at the PBE-GGA level.

As for the electronic total energy: -120.518 eV per cell. For the formation enthalpy at 0 K, the calculation gives -0.032 eV per atom.

The space group is C2/m (No. 12) and the conventional cell measures 12.664, 6.442 and 7.809 Å, with angles of 90.00, 127.28 and 90.00 degrees. The inequivalent atoms are Er at (0.037, 0.000, 0.321), Tm at (0.000, 0.500, 0.500), Tm at (0.201, 0.256, 0.172), Co at (0.001, 0.500, 0.144) and Co at (0.203, 0.500, 0.481).



(3)
Below is crystalline B2Rh4Au at its relaxed geometry, with properties calculated at the PBE-GGA level.

As for the electronic total energy: -368.824 eV per cell. For the formation enthalpy at 0 K, the calculation gives -0.009 eV per atom.

The space group is Fdd2 (No. 43) and the conventional cell measures 7.660, 13.040 and 7.650 Å, with angles of 90.00, 90.00 and 90.00 degrees. The inequivalent atoms are B at (0.125, 0.125, 0.000), Rh at (0.121, 0.181, 0.254), Rh at (0.122, 0.319, 0.996) and Au at (0.000, 0.000, 0.375).



(4)
Below is crystalline Nd6Th2Sc at its relaxed geometry, with properties calculated at the PBE-GGA level.

As for the electronic total energy: -97.105 eV per cell. For the formation enthalpy at 0 K, the calculation gives 0.136 eV per atom.

The space group is C2/m (No. 12) and the conventional cell measures 17.474, 3.488 and 12.221 Å, with angles of 90.00, 126.15 and 90.00 degrees. The inequivalent atoms are Nd at (0.044, 0.000, 0.259), Nd at (0.117, 0.500, 0.057), Nd at (0.224, 0.000, 0.610), Th at (0.170, 0.500, 0.827) and Sc at (0.000, 0.000, 0.500).



(5)
Below is crystalline TlRhSeN2 at its relaxed geometry, with properties calculated at the PBE-GGA level.

As for the electronic total energy: -25.057 eV per cell. The calculation puts the uncorrected formation energy at 0.959 eV per atom.

The space group is P4/mmm (No. 123) and the conventional cell measures 3.953, 3.953 and 5.446 Å, with angles of 90.00, 90.00 and 90.00 degrees. The inequivalent atoms are Tl at (0.000, 0.000, 0.000), Rh at (0.500, 0.500, 0.500), Se at (0.500, 0.500, 0.000) and N at (0.000, 0.500, 0.500).



(6)
Below is crystalline SiTcAs4 at its relaxed geometry, with properties calculated at the PBE-GGA level.

As for the electronic total energy: -115.711 eV per cell. The calculation puts the uncorrected formation energy at 0.910 eV per atom.

The space group is F-43m (No. 216) and the conventional cell measures 7.690, 7.690 and 7.690 Å, with angles of 90.00, 90.00 and 90.00 degrees. The inequivalent atoms are Si at (0.000, 0.000, 0.000), Tc at (0.250, 0.250, 0.250) and As at (0.125, 0.125, 0.625).